VASP calculation (PBE) on a relaxed structure of SnMoP2.

Values from the calculation:
Total energy, eV/atom: -6.259
DOS at the Fermi energy, states/eV per atom: 0.23

Geometry as CIF:
```
data_SnMoP2
_chemical_formula_sum 'Sn4 Mo4 P8'
_symmetry_space_group_name_H-M 'I -4 2 d'
_symmetry_Int_Tables_number 122
_symmetry_space_group_name_Hall 'I -4 2bw'
_cell_length_a 5.674
_cell_length_b 5.674
_cell_length_c 11.891
_cell_angle_alpha 90.00
_cell_angle_beta 90.00
_cell_angle_gamma 90.00
loop_
_atom_site_label
_atom_site_fract_x
_atom_site_fract_y
_atom_site_fract_z
Sn1 0.000 0.000 0.000
Mo1 0.000 0.000 0.500
P1 0.194 0.250 0.625
```